Ba2CeErS6 (GGA-PBE, optimized geometry); DOS at the Fermi energy = 26.341 states/eV/cell; magnetic moment = 0.000 μB per atom; formation energy (no corrections) = -1.8247 eV per atom; ρ = 4.5 Mg/m³; SG = P2_1/c, No. 14
1.0
7.2276 0.0000 0.0000
0.0000 7.5671 0.0000
-7.1510 0.0000 10.4245
Ba Ce Er S
4 2 2 12
Direct
0.2288 0.0635 0.2495
0.2288 0.4365 0.7495
0.7712 0.5635 0.2505
0.7712 0.9365 0.7505
0.5000 0.0000 0.0000
0.5000 0.5000 0.5000
0.0000 0.0000 0.5000
0.0000 0.5000 0.0000
0.1573 0.2066 0.9554
0.1573 0.2934 0.4554
0.2505 0.7070 0.9546
0.2505 0.7930 0.4546
0.3345 0.0210 0.7489
0.3345 0.4790 0.2489
0.6655 0.5210 0.7511
0.6655 0.9790 0.2511
0.7495 0.2070 0.5454
0.7495 0.2930 0.0454
0.8427 0.7066 0.5446
0.8427 0.7934 0.0446